(1)
# AgPSeS2

AgPSeS2 after structural relaxation (PBE-GGA, Alexandria via LeMat-Bulk).

The structure in CIF format:
```
data_AgPSeS2
_chemical_formula_sum 'Ag1 P1 Se1 S2'
_cell_length_a 4.793
_cell_length_b 4.793
_cell_length_c 4.803
_cell_angle_alpha 90.00
_cell_angle_beta 90.00
_cell_angle_gamma 90.00
_symmetry_space_group_name_H-M 'P 4/m m m'
_symmetry_Int_Tables_number 123
_symmetry_space_group_name_Hall '-P 4 2'
loop_
_atom_site_label
_atom_site_type_symbol
_atom_site_fract_x
_atom_site_fract_y
_atom_site_fract_z
Ag1 Ag 0.000 0.000 0.000
P1 P 0.000 0.000 0.500
Se1 Se 0.500 0.500 0.500
S1 S 0.000 0.500 0.000
```

Results
- Polymorph energy (0 for the lowest one): 234 meV per atom
- Spin magnetization: 0.00 μB per formula unit
- Crystal system: tetragonal


(2)
# U2CrS5

U2CrS5 after structural relaxation (PBE-GGA, Alexandria via LeMat-Bulk).

The structure in CIF format:
```
data_U2CrS5
_chemical_formula_sum 'U4 Cr2 S10'
_cell_length_a 7.610
_cell_length_b 10.856
_cell_length_c 3.698
_cell_angle_alpha 90.00
_cell_angle_beta 90.00
_cell_angle_gamma 90.00
_symmetry_space_group_name_H-M 'P b a m'
_symmetry_Int_Tables_number 55
loop_
_symmetry_equiv_pos_as_xyz
'x,y,z'
'-x,-y,-z'
'-x,-y,z'
'x,y,-z'
'x+1/2,-y+1/2,-z'
'-x+1/2,y+1/2,z'
'-x+1/2,y+1/2,-z'
'x+1/2,-y+1/2,z'
loop_
_atom_site_label
_atom_site_type_symbol
_atom_site_fract_x
_atom_site_fract_y
_atom_site_fract_z
U1 U 0.035 0.182 0.000
Cr1 Cr 0.000 0.500 0.500
S1 S 0.000 0.000 0.500
S2 S 0.168 0.417 0.000
S3 S 0.173 0.691 0.500
```

Results
- Polymorph energy (0 for the lowest one): 0 meV per atom
- Spin magnetization: 7.69 μB per formula unit
- Crystal system: orthorhombic


(3)
# LaCuBr

LaCuBr after structural relaxation (PBE-GGA, Alexandria via LeMat-Bulk).

The structure in CIF format:
```
data_LaCuBr
_chemical_formula_sum 'La1 Cu1 Br1'
_cell_length_a 4.8552
_cell_length_b 4.8552
_cell_length_c 3.5100
_cell_angle_alpha 90.00
_cell_angle_beta 90.00
_cell_angle_gamma 120.00
_symmetry_space_group_name_H-M 'P 3 m 1'
_symmetry_Int_Tables_number 156
loop_
_symmetry_equiv_pos_as_xyz
'x,y,z'
'-y,x-y,z'
'-x+y,-x,z'
'-y,-x,z'
'-x+y,y,z'
'x,x-y,z'
loop_
_atom_site_label
_atom_site_type_symbol
_atom_site_fract_x
_atom_site_fract_y
_atom_site_fract_z
La1 La 0.0000 0.0000 0.0000
Cu1 Cu 0.3333 0.6667 0.5376
Br1 Br 0.6667 0.3333 0.4907
```

Results
- Final energy: -12.14 eV per cell
- Spin magnetization: 0.00 μB per formula unit
- Crystal system: trigonal


(4)
# LiMg2Ir

LiMg2Ir after structural relaxation (PBE-GGA, Alexandria via LeMat-Bulk).

The structure in CIF format:
```
data_LiMg2Ir
_chemical_formula_sum 'Li4 Mg8 Ir4'
_cell_length_a 3.998
_cell_length_b 3.998
_cell_length_c 18.152
_cell_angle_alpha 90.00
_cell_angle_beta 90.00
_cell_angle_gamma 90.00
_symmetry_space_group_name_H-M 'I -4 2 d'
_symmetry_Int_Tables_number 122
_symmetry_space_group_name_Hall 'I -4 2bw'
loop_
_atom_site_label
_atom_site_type_symbol
_atom_site_fract_x
_atom_site_fract_y
_atom_site_fract_z
Li1 Li 0.000 0.000 0.000
Mg1 Mg 0.235 0.250 0.625
Ir1 Ir 0.000 0.000 0.500
```

Results
- Spin magnetization: 0.00 μB per formula unit
- Crystal system: tetragonal
- Calculated formation energy: 238 meV/atom


(5)
# RbU4Se8

RbU4Se8 after structural relaxation (PBE-GGA, Alexandria via LeMat-Bulk).

The structure in CIF format:
```
data_RbU4Se8
_chemical_formula_sum 'Rb2 U8 Se16'
_cell_length_a 14.309
_cell_length_b 8.267
_cell_length_c 11.155
_cell_angle_alpha 90.00
_cell_angle_beta 129.36
_cell_angle_gamma 90.00
_symmetry_space_group_name_H-M 'C 1 2/m 1'
_symmetry_Int_Tables_number 12
loop_
_symmetry_equiv_pos_as_xyz
'x,y,z'
'-x,-y,-z'
'-x,y,-z'
'x,-y,z'
'x+1/2,y+1/2,z'
'-x+1/2,-y+1/2,-z'
'-x+1/2,y+1/2,-z'
'x+1/2,-y+1/2,z'
loop_
_atom_site_label
_atom_site_type_symbol
_atom_site_fract_x
_atom_site_fract_y
_atom_site_fract_z
Rb1 Rb 0.000 0.000 0.000
U1 U 0.000 0.252 0.500
U2 U 0.244 0.500 0.490
Se1 Se 0.002 0.000 0.677
Se2 Se 0.010 0.500 0.684
Se3 Se 0.243 0.244 0.318
```

Results
- Polymorph energy (0 for the lowest one): 0 meV per atom
- Spin magnetization: 9.00 μB per formula unit
- Crystal system: monoclinic


(6)
# CeNdSiRh

CeNdSiRh after structural relaxation (PBE-GGA, Alexandria via LeMat-Bulk).

The structure in CIF format:
```
data_CeNdSiRh
_chemical_formula_sum 'Ce2 Nd2 Si2 Rh2'
_cell_length_a 4.079
_cell_length_b 4.150
_cell_length_c 10.973
_cell_angle_alpha 90.00
_cell_angle_beta 90.00
_cell_angle_gamma 90.00
_symmetry_space_group_name_H-M 'A m m 2'
_symmetry_Int_Tables_number 38
loop_
_symmetry_equiv_pos_as_xyz
'x,y,z'
'-x,-y,z'
'-x,y,z'
'x,-y,z'
'x,y+1/2,z+1/2'
'-x,-y+1/2,z+1/2'
'-x,y+1/2,z+1/2'
'x,-y+1/2,z+1/2'
loop_
_atom_site_label
_atom_site_type_symbol
_atom_site_fract_x
_atom_site_fract_y
_atom_site_fract_z
Ce1 Ce 0.000 0.000 0.000
Nd1 Nd 0.500 0.000 0.719
Si1 Si 0.000 0.000 0.295
Rh1 Rh 0.500 0.000 0.442
```

Results
- Final energy: -52.99 eV per cell
- Spin magnetization: 0.27 μB per formula unit
- Crystal system: orthorhombic


(7)
# La2DyIn9

La2DyIn9 after structural relaxation (PBE-GGA, Alexandria via LeMat-Bulk).

The structure in CIF format:
```
data_La2DyIn9
_chemical_formula_sum 'La2 Dy1 In9'
_cell_length_a 4.745
_cell_length_b 4.745
_cell_length_c 14.187
_cell_angle_alpha 90.00
_cell_angle_beta 90.00
_cell_angle_gamma 90.00
_symmetry_space_group_name_H-M 'P 4/m m m'
_symmetry_Int_Tables_number 123
_symmetry_space_group_name_Hall '-P 4 2'
loop_
_atom_site_label
_atom_site_type_symbol
_atom_site_fract_x
_atom_site_fract_y
_atom_site_fract_z
La1 La 0.000 0.000 0.171
Dy1 Dy 0.000 0.000 0.500
In1 In 0.000 0.500 0.000
In2 In 0.000 0.500 0.340
In3 In 0.500 0.500 0.167
In4 In 0.500 0.500 0.500
```

Results
- Spin magnetization: 0.00 μB per formula unit
- Crystal system: tetragonal
- Calculated formation energy: -462 meV/atom


(8)
# Y2Tm2Tl3

Y2Tm2Tl3 after structural relaxation (PBE-GGA, Alexandria via LeMat-Bulk).

The structure in CIF format:
```
data_Y2Tm2Tl3
_chemical_formula_sum 'Y4 Tm4 Tl6'
_cell_length_a 13.418
_cell_length_b 3.743
_cell_length_c 8.785
_cell_angle_alpha 90.00
_cell_angle_beta 111.96
_cell_angle_gamma 90.00
_symmetry_space_group_name_H-M 'C 1 2/m 1'
_symmetry_Int_Tables_number 12
loop_
_symmetry_equiv_pos_as_xyz
'x,y,z'
'-x,-y,-z'
'-x,y,-z'
'x,-y,z'
'x+1/2,y+1/2,z'
'-x+1/2,-y+1/2,-z'
'-x+1/2,y+1/2,-z'
'x+1/2,-y+1/2,z'
loop_
_atom_site_label
_atom_site_type_symbol
_atom_site_fract_x
_atom_site_fract_y
_atom_site_fract_z
Y1 Y 0.112 0.000 0.443
Tm1 Tm 0.123 0.500 0.818
Tl1 Tl 0.000 0.000 0.000
Tl2 Tl 0.197 0.500 0.217
```

Results
- Polymorph energy (0 for the lowest one): 28 meV per atom
- Spin magnetization: 0.00 μB per formula unit
- Crystal system: monoclinic
- Calculated formation energy: -189 meV/atom


(9)
# Ho3SbTe

Ho3SbTe after structural relaxation (PBE-GGA, Alexandria via LeMat-Bulk).

The structure in CIF format:
```
data_Ho3SbTe
_chemical_formula_sum 'Ho6 Sb2 Te2'
_cell_length_a 8.504
_cell_length_b 4.152
_cell_length_c 8.632
_cell_angle_alpha 90.00
_cell_angle_beta 90.78
_cell_angle_gamma 90.00
_symmetry_space_group_name_H-M 'P 1 21/m 1'
_symmetry_Int_Tables_number 11
loop_
_symmetry_equiv_pos_as_xyz
'x,y,z'
'-x,-y,-z'
'-x,y+1/2,-z'
'x,-y+1/2,z'
loop_
_atom_site_label
_atom_site_type_symbol
_atom_site_fract_x
_atom_site_fract_y
_atom_site_fract_z
Ho1 Ho 0.125 0.250 0.135
Ho2 Ho 0.154 0.750 0.500
Ho3 Ho 0.374 0.750 0.875
Sb1 Sb 0.125 0.250 0.770
Te1 Te 0.383 0.750 0.230
```

Results
- Final energy: -51.01 eV per cell
- Spin magnetization: 0.00 μB per formula unit
- Crystal system: monoclinic


(10)
# Zr3CdC

Zr3CdC after structural relaxation (PBE-GGA, Alexandria via LeMat-Bulk).

The structure in CIF format:
```
data_Zr3CdC
_chemical_formula_sum 'Zr12 Cd4 C4'
_cell_length_a 11.620
_cell_length_b 3.305
_cell_length_c 10.945
_cell_angle_alpha 90.00
_cell_angle_beta 92.86
_cell_angle_gamma 90.00
_symmetry_space_group_name_H-M 'C 1 2/m 1'
_symmetry_Int_Tables_number 12
loop_
_symmetry_equiv_pos_as_xyz
'x,y,z'
'-x,-y,-z'
'-x,y,-z'
'x,-y,z'
'x+1/2,y+1/2,z'
'-x+1/2,-y+1/2,-z'
'-x+1/2,y+1/2,-z'
'x+1/2,-y+1/2,z'
loop_
_atom_site_label
_atom_site_type_symbol
_atom_site_fract_x
_atom_site_fract_y
_atom_site_fract_z
Zr1 Zr 0.033 0.000 0.273
Zr2 Zr 0.132 0.000 0.992
Zr3 Zr 0.134 0.500 0.515
Cd1 Cd 0.208 0.500 0.779
C1 C 0.185 0.000 0.396
```

Results
- Polymorph energy (0 for the lowest one): 544 meV per atom
- Spin magnetization: 0.00 μB per formula unit
- Crystal system: monoclinic
- Calculated formation energy: 115 meV/atom


(11)
# PrMg2Ge2Au2

PrMg2Ge2Au2 after structural relaxation (PBE-GGA, Alexandria via LeMat-Bulk).

The structure in CIF format:
```
data_PrMg2Ge2Au2
_chemical_formula_sum 'Pr3 Mg6 Ge6 Au6'
_cell_length_a 4.4647
_cell_length_b 4.4647
_cell_length_c 24.7754
_cell_angle_alpha 90.00
_cell_angle_beta 90.00
_cell_angle_gamma 120.00
_symmetry_space_group_name_H-M 'R -3 m'
_symmetry_Int_Tables_number 166
_symmetry_space_group_name_Hall '-R 3 2"'
loop_
_atom_site_label
_atom_site_type_symbol
_atom_site_fract_x
_atom_site_fract_y
_atom_site_fract_z
Pr1 Pr 0.0000 0.0000 0.0000
Mg1 Mg 0.0000 0.0000 0.1386
Ge1 Ge 0.0000 0.0000 0.2620
Au1 Au 0.0000 0.0000 0.4353
```

Results
- Spin magnetization: 0.00 μB per formula unit
- Crystal system: trigonal
- Calculated formation energy: -556 meV/atom


(12)
# PuGa2AgO8

PuGa2AgO8 after structural relaxation (PBE-GGA, Alexandria via LeMat-Bulk).

The structure in CIF format:
```
data_PuGa2AgO8
_chemical_formula_sum 'Pu2 Ga4 Ag2 O16'
_cell_length_a 6.698
_cell_length_b 6.698
_cell_length_c 6.858
_cell_angle_alpha 90.00
_cell_angle_beta 90.00
_cell_angle_gamma 90.00
_symmetry_space_group_name_H-M 'I -4 m 2'
_symmetry_Int_Tables_number 119
_symmetry_space_group_name_Hall 'I -4 -2'
loop_
_atom_site_label
_atom_site_type_symbol
_atom_site_fract_x
_atom_site_fract_y
_atom_site_fract_z
Pu1 Pu 0.000 0.000 0.000
Ga1 Ga 0.000 0.000 0.500
Ga2 Ga 0.000 0.500 0.750
Ag1 Ag 0.000 0.500 0.250
O1 O 0.000 0.185 0.294
O2 O 0.000 0.293 0.928
```

Results
- Final energy: -156.35 eV per cell
- Spin magnetization: 0.81 μB per formula unit
- Crystal system: tetragonal